Below is a relaxed structure of Sr2LiAgSn6, with properties calculated at the PBE-GGA level.

Structure (POSCAR):
```
Sr2LiAgSn6
1.0
-4.250 -0.387 -5.708
-0.529 -6.104 -3.642
-11.491 -5.852 4.503
Sr Li Ag Sn
4 2 2 12
direct
0.884 0.884 0.349 Sr
0.116 0.116 0.651 Sr
0.705 0.705 0.886 Sr
0.295 0.295 0.114 Sr
0.568 0.568 0.297 Li
0.432 0.432 0.703 Li
0.000 0.000 0.000 Ag
0.500 0.500 0.500 Ag
0.937 0.344 0.376 Sn
0.344 0.937 0.376 Sn
0.344 0.344 0.376 Sn
0.063 0.656 0.624 Sn
0.656 0.063 0.624 Sn
0.656 0.656 0.624 Sn
0.666 0.234 0.866 Sn
0.234 0.666 0.866 Sn
0.234 0.234 0.866 Sn
0.334 0.766 0.134 Sn
0.766 0.334 0.134 Sn
0.766 0.766 0.134 Sn
```

Computed properties:
Symmetry: R-3m, No. 166
Calculated formation energy, eV per atom: -0.270
Crystal system: trigonal